[1]
Here is LaSnF2 at its PBEsol-relaxed geometry from Alexandria via LeMat-Bulk. Energies are from SCAN.

Lattice parameters (Å, degrees): 9.216 9.216 9.216 21.22 21.22 21.22
Positions (direct):
La1 0.000 0.000 0.000
Sn1 0.500 0.500 0.500
F1 0.388 0.388 0.388
F2 0.612 0.612 0.612

Output
- E_form (uncorrected) (meV/atom) = -2322.6
- energy (eV per atom) = -23.85

[2]
Here is LaTi2TcF at its PBEsol-relaxed geometry from Alexandria via LeMat-Bulk. Energies are from SCAN.

Lattice parameters (Å, degrees): 4.064 4.064 5.276 90.00 90.00 90.00
Positions (direct):
La1 0.000 0.000 0.000
Ti1 0.000 0.500 0.500
Ti2 0.500 0.000 0.500
Tc1 0.500 0.500 0.000
F1 0.500 0.500 0.500

Output
- E_form (uncorrected) (meV/atom) = -155.7
- energy (eV per atom) = -22.91

[3]
Here is LaTi3F at its PBEsol-relaxed geometry from Alexandria via LeMat-Bulk. Energies are from SCAN.

Lattice parameters (Å, degrees): 4.775 4.775 4.775 90.00 90.00 90.00
Positions (direct):
La1 0.000 0.000 0.000
Ti1 0.000 0.000 0.500
Ti2 0.000 0.500 0.000
Ti3 0.500 0.000 0.000
F1 0.500 0.500 0.500

Output
- E_form (uncorrected) (meV/atom) = 1305.8
- energy (eV per atom) = -17.64

[4]
Here is La3YF at its PBEsol-relaxed geometry from Alexandria via LeMat-Bulk. Energies are from SCAN.

Lattice parameters (Å, degrees): 5.163 5.163 5.163 90.00 90.00 90.00
Positions (direct):
La1 0.000 0.000 0.500
La2 0.000 0.500 0.000
La3 0.500 0.000 0.000
Y1 0.500 0.500 0.500
F1 0.000 0.000 0.000

Output
- E_form (uncorrected) (meV/atom) = -1135.8
- energy (eV per atom) = -33.28

[5]
Here is LaZrF7 at its PBEsol-relaxed geometry from Alexandria via LeMat-Bulk. Energies are from SCAN.

Lattice parameters (Å, degrees): 6.305 5.904 8.498 90.00 102.51 90.00
Positions (direct):
La1 0.158 0.000 0.189
La2 0.842 0.500 0.811
Zr1 0.311 0.009 0.724
Zr2 0.689 0.509 0.276
F1 0.055 0.688 0.024
F2 0.073 0.778 0.711
F3 0.100 0.269 0.707
F4 0.265 0.000 0.483
F5 0.354 0.017 0.965
F6 0.451 0.274 0.256
F7 0.456 0.745 0.269
F8 0.544 0.245 0.731
F9 0.549 0.774 0.744
F10 0.646 0.517 0.035
F11 0.735 0.500 0.517
F12 0.900 0.769 0.293
F13 0.927 0.278 0.289
F14 0.945 0.188 0.976

Output
- E_form (uncorrected) (meV/atom) = -4175.5
- energy (eV per atom) = -15.13

[6]
Here is LiF3 at its PBEsol-relaxed geometry from Alexandria via LeMat-Bulk. Energies are from SCAN.

Lattice parameters (Å, degrees): 5.506 5.506 5.506 32.93 32.93 32.93
Positions (direct):
Li1 0.000 0.000 0.000
F1 0.392 0.392 0.392
F2 0.500 0.500 0.500
F3 0.608 0.608 0.608

Output
- E_form (uncorrected) (meV/atom) = -1491.1
- distance to the lowest polymorph of the same formula (eV per atom) = 0.000
- energy (eV per atom) = -4.74

[7]
Here is LiF3 at its PBEsol-relaxed geometry from Alexandria via LeMat-Bulk. Energies are from SCAN.

Lattice parameters (Å, degrees): 4.331 4.331 5.162 90.00 90.00 120.00
Positions (direct):
Li1 0.333 0.667 0.250
Li2 0.667 0.333 0.750
F1 0.168 0.336 0.750
F2 0.168 0.832 0.750
F3 0.336 0.168 0.250
F4 0.664 0.832 0.750
F5 0.832 0.168 0.250
F6 0.832 0.664 0.250

Output
- E_form (uncorrected) (meV/atom) = -1222.2
- distance to the lowest polymorph of the same formula (eV per atom) = 0.269
- energy (eV per atom) = -4.47

[8]
Here is LiLuF4 at its PBEsol-relaxed geometry from Alexandria via LeMat-Bulk. Energies are from SCAN.

Lattice parameters (Å, degrees): 6.285 6.285 5.074 113.72 113.72 110.45
Positions (direct):
Li1 0.124 0.876 0.750
Li2 0.876 0.124 0.250
Lu1 0.375 0.625 0.250
Lu2 0.625 0.375 0.750
F1 0.038 0.625 0.866
F2 0.242 0.328 0.705
F3 0.328 0.242 0.205
F4 0.375 0.962 0.634
F5 0.625 0.038 0.366
F6 0.672 0.758 0.795
F7 0.758 0.672 0.295
F8 0.962 0.375 0.134

Output
- E_form (uncorrected) (meV/atom) = -4063.1
- energy (eV per atom) = -16.05

[9]
Here is NaLiLu2F8 at its PBEsol-relaxed geometry from Alexandria via LeMat-Bulk. Energies are from SCAN.

Lattice parameters (Å, degrees): 6.497 6.497 6.847 90.00 90.00 77.04
Positions (direct):
Na1 0.156 0.844 0.750
Na2 0.844 0.156 0.250
Li1 0.500 0.500 0.000
Li2 0.500 0.500 0.500
Lu1 0.050 0.574 0.250
Lu2 0.426 0.950 0.250
Lu3 0.574 0.050 0.750
Lu4 0.950 0.426 0.750
F1 0.113 0.887 0.250
F2 0.159 0.564 0.550
F3 0.159 0.564 0.950
F4 0.196 0.246 0.250
F5 0.246 0.196 0.750
F6 0.413 0.587 0.250
F7 0.436 0.841 0.550
F8 0.436 0.841 0.950
F9 0.564 0.159 0.050
F10 0.564 0.159 0.450
F11 0.587 0.413 0.750
F12 0.754 0.804 0.250
F13 0.804 0.754 0.750
F14 0.841 0.436 0.050
F15 0.841 0.436 0.450
F16 0.887 0.113 0.750

Output
- E_form (uncorrected) (meV/atom) = -4023.5
- energy (eV per atom) = -16.16

[10]
Here is Li3MgF at its PBEsol-relaxed geometry from Alexandria via LeMat-Bulk. Energies are from SCAN.

Lattice parameters (Å, degrees): 4.243 4.243 4.243 90.00 90.00 90.00
Positions (direct):
Li1 0.000 0.000 0.500
Li2 0.000 0.500 0.000
Li3 0.500 0.000 0.000
Mg1 0.500 0.500 0.500
F1 0.000 0.000 0.000

Output
- E_form (uncorrected) (meV/atom) = -1026.7
- energy (eV per atom) = -4.16

[11]
Here is LiMgOF2 at its PBEsol-relaxed geometry from Alexandria via LeMat-Bulk. Energies are from SCAN.

Lattice parameters (Å, degrees): 3.490 3.490 3.821 90.00 90.00 90.00
Positions (direct):
Li1 0.000 0.000 0.000
Mg1 0.500 0.500 0.500
O1 0.000 0.000 0.500
F1 0.000 0.500 0.000
F2 0.500 0.000 0.000

Output
- E_form (uncorrected) (meV/atom) = -2237.3
- energy (eV per atom) = -6.37

[12]
Here is Li9Mg3P4O16F3 at its PBEsol-relaxed geometry from Alexandria via LeMat-Bulk. Energies are from SCAN.

Lattice parameters (Å, degrees): 12.611 12.611 5.000 90.00 90.00 120.00
Positions (direct):
Li1 0.082 0.169 0.000
Li2 0.087 0.918 0.000
Li3 0.088 0.419 0.082
Li4 0.169 0.087 0.500
Li5 0.176 0.564 0.548
Li6 0.332 0.912 0.082
Li7 0.388 0.824 0.548
Li8 0.419 0.332 0.582
Li9 0.436 0.612 0.548
Li10 0.564 0.388 0.048
Li11 0.581 0.668 0.082
Li12 0.612 0.176 0.048
Li13 0.668 0.088 0.582
Li14 0.824 0.436 0.048
Li15 0.831 0.913 0.000
Li16 0.912 0.581 0.582
Li17 0.913 0.082 0.500
Li18 0.918 0.831 0.500
Mg1 0.067 0.641 0.080
Mg2 0.359 0.426 0.080
Mg3 0.426 0.067 0.580
Mg4 0.574 0.933 0.080
Mg5 0.641 0.574 0.580
Mg6 0.933 0.359 0.580
P1 0.153 0.834 0.595
P2 0.166 0.318 0.595
P3 0.318 0.153 0.095
P4 0.333 0.667 0.055
P5 0.667 0.333 0.555
P6 0.682 0.847 0.595
P7 0.834 0.682 0.095
P8 0.847 0.166 0.095
O1 0.070 0.715 0.442
O2 0.084 0.176 0.596
O3 0.093 0.916 0.596
O4 0.099 0.380 0.466
O5 0.165 0.807 0.894
O6 0.176 0.093 0.096
O7 0.193 0.359 0.894
O8 0.201 0.603 0.165
O9 0.281 0.901 0.466
O10 0.285 0.355 0.442
O11 0.333 0.667 0.743
O12 0.355 0.070 0.942
O13 0.359 0.165 0.394
O14 0.380 0.281 0.966
O15 0.397 0.598 0.165
O16 0.402 0.799 0.165
O17 0.598 0.201 0.665
O18 0.603 0.402 0.665
O19 0.620 0.719 0.466
O20 0.641 0.835 0.894
O21 0.645 0.930 0.442
O22 0.667 0.333 0.243
O23 0.715 0.645 0.942
O24 0.719 0.099 0.966
O25 0.799 0.397 0.665
O26 0.807 0.641 0.394
O27 0.824 0.907 0.596
O28 0.835 0.193 0.394
O29 0.901 0.620 0.966
O30 0.907 0.084 0.096
O31 0.916 0.824 0.096
O32 0.930 0.285 0.942
F1 0.041 0.524 0.771
F2 0.476 0.517 0.771
F3 0.483 0.959 0.771
F4 0.517 0.041 0.271
F5 0.524 0.483 0.271
F6 0.959 0.476 0.271

Output
- E_form (uncorrected) (meV/atom) = -2844.2
- energy (eV per atom) = -8.23

Please write out number 1 again, unchanged.
Here is LaSnF2 at its PBEsol-relaxed geometry from Alexandria via LeMat-Bulk. Energies are from SCAN.

Lattice parameters (Å, degrees): 9.216 9.216 9.216 21.22 21.22 21.22
Positions (direct):
La1 0.000 0.000 0.000
Sn1 0.500 0.500 0.500
F1 0.388 0.388 0.388
F2 0.612 0.612 0.612

Output
- E_form (uncorrected) (meV/atom) = -2322.6
- energy (eV per atom) = -23.85